First-principles (PBE) data for a relaxed SmPa6S8 crystal, as listed in the Alexandria database.

The structure belongs to space group R-3 (No. 148, hexagonal axes); the cell edges are 8.2713, 8.2713 and 16.5135 Å and the angles 90.00°, 90.00° and 120.00°. The inequivalent atoms are Sm at (0.0000, 0.0000, 0.0000), Pa at (0.0038, 0.6275, 0.9228), S at (0.0000, 0.0000, 0.3329) and S at (0.0055, 0.7167, 0.0905).

Its uncorrected formation energy is -1.42 eV/atom. The magnetic moment is 5.5 Bohr magnetons per cell. The total energy is -7.74 eV/atom. The density of states at the Fermi level comes out at 71.6 states/eV per cell.